Record 1
A plane-wave DFT calculation with PBE-GGA was carried out for a relaxed structure of PmNd6Tm4.

Cell: 5.841 9.724 25.971 Å, 90.00 90.00 90.00°
Space group Cmcm (No. 63)
Asymmetric unit:
Pm 0.000 0.205 0.250
Nd 0.000 0.130 0.681
Nd 0.000 0.194 0.099
Nd 0.000 0.457 0.750
Nd 0.000 0.500 0.000
Tm 0.000 0.153 0.544
Tm 0.000 0.464 0.624

Summary:
Mass density (g cm⁻³): 7.59
Magnetic moment (μB/cell): 0.00
Calculated volume (Å³ per atom): 33.52
Total DFT energy (no corrections) (eV per cell): -200.27
Formation energy from the elements (eV/atom): 0.1070

Record 2
A plane-wave DFT calculation with PBE-GGA was carried out for a relaxed structure of Pm2Nd3Tm4.

Cell: 6.210 6.216 8.011 Å, 75.17 82.65 80.50°
Space group P-1 (No. 2)
Asymmetric unit:
Pm 0.167 0.332 0.167
Nd 0.390 0.442 0.723
Nd 0.500 0.000 0.500
Tm 0.053 0.778 0.388
Tm 0.274 0.890 0.946

Summary:
Mass density (g cm⁻³): 7.91
Magnetic moment (μB/cell): 0.00
Calculated volume (Å³ per atom): 32.62
Total DFT energy (no corrections) (eV per cell): -41.50
Formation energy from the elements (eV/atom): 0.0212

Among the records above, which one has the lowest total DFT energy (no corrections)? PmNd6Tm4

What is the total DFT energy (no corrections) in the first record? -200.27 eV per cell

Which value of mass density does entry 1 give? 7.59 g cm⁻³